[1]
# GGA-PBE BeHg3Pd, optimized geometry
# ΔH_f (0 K) = 3.1 eV per formula unit
# M_tot = 0.00 μB/atom
data_BeHg3Pd
_cell_length_a 5.3240
_cell_length_b 5.3240
_cell_length_c 5.3240
_cell_angle_alpha 90.00
_cell_angle_beta 90.00
_cell_angle_gamma 90.00
_space_group_name_H-M_alt 'P m -3 m'
_space_group_IT_number 221
_space_group_name_Hall '-P 4 2 3'
loop_
_atom_site_label
_atom_site_type_symbol
_atom_site_fract_x
_atom_site_fract_y
_atom_site_fract_z
Be1 Be 0.0000 0.0000 0.0000
Hg1 Hg 0.0000 0.5000 0.5000
Pd1 Pd 0.5000 0.5000 0.5000

***

[2]
# GGA-PBE Be3HgPd, optimized geometry
# ΔH_f (0 K) = 2.1 eV per formula unit
# M_tot = 0.00 μB/atom
data_Be3HgPd
_cell_length_a 4.2997
_cell_length_b 4.2997
_cell_length_c 4.2997
_cell_angle_alpha 90.00
_cell_angle_beta 90.00
_cell_angle_gamma 90.00
_space_group_name_H-M_alt 'P m -3 m'
_space_group_IT_number 221
_space_group_name_Hall '-P 4 2 3'
loop_
_atom_site_label
_atom_site_type_symbol
_atom_site_fract_x
_atom_site_fract_y
_atom_site_fract_z
Be1 Be 0.0000 0.0000 0.5000
Hg1 Hg 0.5000 0.5000 0.5000
Pd1 Pd 0.0000 0.0000 0.0000

***

[3]
# GGA-PBE BeHg2Pd2, optimized geometry
# ΔH_f (0 K) = -0.7 eV per formula unit
# M_tot = 0.00 μB/atom
data_BeHg2Pd2
_cell_length_a 6.0705
_cell_length_b 6.0705
_cell_length_c 4.6561
_cell_angle_alpha 90.00
_cell_angle_beta 90.00
_cell_angle_gamma 90.00
_space_group_name_H-M_alt 'P 4/m b m'
_space_group_IT_number 127
_space_group_name_Hall '-P 4 2ab'
loop_
_atom_site_label
_atom_site_type_symbol
_atom_site_fract_x
_atom_site_fract_y
_atom_site_fract_z
Be1 Be 0.0000 0.0000 0.0000
Hg1 Hg 0.1689 0.3311 0.5000
Pd1 Pd 0.1582 0.6582 0.0000

***

[4]
# GGA-PBE BeHg2Pd, optimized geometry
# ΔH_f (0 K) = 1.0 eV per formula unit
# M_tot = 0.00 μB/atom
data_BeHg2Pd
_cell_length_a 7.2183
_cell_length_b 7.2183
_cell_length_c 5.4769
_cell_angle_alpha 90.00
_cell_angle_beta 90.00
_cell_angle_gamma 90.00
_space_group_name_H-M_alt 'I -4 2 d'
_space_group_IT_number 122
_space_group_name_Hall 'I -4 2bw'
loop_
_atom_site_label
_atom_site_type_symbol
_atom_site_fract_x
_atom_site_fract_y
_atom_site_fract_z
Be1 Be 0.0000 0.0000 0.0000
Hg1 Hg 0.2013 0.2500 0.1250
Pd1 Pd 0.0000 0.0000 0.5000

***

[5]
# GGA-PBE BeHg3Pd, optimized geometry
# ΔH_f (0 K) = 2.0 eV per formula unit
# M_tot = 0.00 μB/atom
data_BeHg3Pd
_cell_length_a 4.6900
_cell_length_b 4.6900
_cell_length_c 4.6900
_cell_angle_alpha 90.00
_cell_angle_beta 90.00
_cell_angle_gamma 90.00
_space_group_name_H-M_alt 'P m -3 m'
_space_group_IT_number 221
_space_group_name_Hall '-P 4 2 3'
loop_
_atom_site_label
_atom_site_type_symbol
_atom_site_fract_x
_atom_site_fract_y
_atom_site_fract_z
Be1 Be 0.0000 0.0000 0.0000
Hg1 Hg 0.0000 0.0000 0.5000
Pd1 Pd 0.5000 0.5000 0.5000

***

[6]
# GGA-PBE Be2HgPd3, optimized geometry
# ΔH_f (0 K) = -2.7 eV per formula unit
# M_tot = 0.00 μB/atom
data_Be2HgPd3
_cell_length_a 2.8438
_cell_length_b 2.8438
_cell_length_c 10.0921
_cell_angle_alpha 90.00
_cell_angle_beta 90.00
_cell_angle_gamma 90.00
_space_group_name_H-M_alt 'P 4/m m m'
_space_group_IT_number 123
_space_group_name_Hall '-P 4 2'
loop_
_atom_site_label
_atom_site_type_symbol
_atom_site_fract_x
_atom_site_fract_y
_atom_site_fract_z
Be1 Be 0.0000 0.0000 0.1450
Hg1 Hg 0.0000 0.0000 0.5000
Pd1 Pd 0.5000 0.5000 0.0000
Pd2 Pd 0.5000 0.5000 0.2787

***

[7]
# GGA-PBE Pm2BeHgPd6, optimized geometry
# ΔH_f (0 K) = -5.5 eV per formula unit
# M_tot = 0.00 μB/atom
data_Pm2BeHgPd6
_cell_length_a 10.2377
_cell_length_b 5.9113
_cell_length_c 7.8127
_cell_angle_alpha 90.00
_cell_angle_beta 115.83
_cell_angle_gamma 90.00
_space_group_name_H-M_alt 'C 1 2/m 1'
_space_group_IT_number 12
loop_
_space_group_symop_operation_xyz
'x,y,z'
'-x,-y,-z'
'-x,y,-z'
'x,-y,z'
'x+1/2,y+1/2,z'
'-x+1/2,-y+1/2,-z'
'-x+1/2,y+1/2,-z'
'x+1/2,-y+1/2,z'
loop_
_atom_site_label
_atom_site_type_symbol
_atom_site_fract_x
_atom_site_fract_y
_atom_site_fract_z
Pm1 Pm 0.2321 0.0000 0.1973
Be1 Be 0.0000 0.5000 0.0000
Hg1 Hg 0.0000 0.0000 0.5000
Pd1 Pd 0.0284 0.2382 0.8224
Pd2 Pd 0.2337 0.5000 0.1779

***

[8]
# GGA-PBE Pr3Be2HgPd9, optimized geometry
# ΔH_f (0 K) = -7.6 eV per formula unit
# M_tot = 0.00 μB/atom
data_Pr3Be2HgPd9
_cell_length_a 6.8711
_cell_length_b 6.8711
_cell_length_c 7.1701
_cell_angle_alpha 90.00
_cell_angle_beta 90.00
_cell_angle_gamma 120.00
_space_group_name_H-M_alt 'P -3 m 1'
_space_group_IT_number 164
_space_group_name_Hall '-P 3 2"'
loop_
_atom_site_label
_atom_site_type_symbol
_atom_site_fract_x
_atom_site_fract_y
_atom_site_fract_z
Pr1 Pr 0.0000 0.0000 0.0000
Pr2 Pr 0.3333 0.6667 0.6656
Be1 Be 0.3333 0.6667 0.1212
Hg1 Hg 0.0000 0.0000 0.5000
Pd1 Pd 0.0000 0.5000 0.0000
Pd2 Pd 0.1923 0.3846 0.3160

***

Q: Which formula does entry 8 have?
A: Pr3Be2HgPd9

***

Q: What is the M_tot in the first record?
A: 0.00 μB/atom

***

Q: The lowest ΔH_f (0 K) belongs to which entry?
A: Pr3Be2HgPd9

***

Q: Which value of ΔH_f (0 K) does entry 7 give?
A: -5.5 eV per formula unit